A plane-wave DFT calculation with GGA-PBE was carried out for a geometry-optimized Sr2PuPt2 structure.

The structure in POSCAR format:
```
Sr2PuPt2
1.0
4.2156 0.0000 0.0000
0.0000 6.6757 0.0000
0.0000 0.0000 10.0276
Sr Pu Pt
4 2 4
Direct
0.0000 0.0000 0.1958
0.0000 0.0000 0.8042
0.5000 0.5000 0.3042
0.5000 0.5000 0.6958
0.0000 0.5000 0.0000
0.5000 0.0000 0.5000
0.0000 0.2843 0.5000
0.0000 0.7157 0.5000
0.5000 0.2157 0.0000
0.5000 0.7843 0.0000
```

Values from the calculation:
Energy of formation from the pure elements = -642.8 meV/atom
Calculated total energy = -66.0 eV/cell
Symmetry = No. 71
DOS at the Fermi energy = 29.77 states/eV/cell
Spin magnetization = 11.65 μB per cell